Entry from the Alexandria database: crystalline La7Pr4Ho at its relaxed geometry (GGA-PBE).

The structure in extended XYZ format:
```
12
Lattice="8.523 -3.083 0.000 8.523 3.083 0.000 -5.289 0.000 8.296" Properties=species:S:1:pos:R:3 pbc="T T T"
La 0.000 0.000 0.000
La 0.294 0.000 5.670
La 4.826 0.000 0.858
La 4.188 0.000 4.786
La 7.568 0.000 3.509
La 6.930 0.000 7.437
La 11.462 0.000 2.626
Pr -3.074 0.000 5.977
Pr 1.520 0.000 2.640
Pr 10.236 0.000 5.655
Pr 14.830 0.000 2.319
Ho 8.523 0.000 0.000
```

Results
* formation enthalpy at 0 K: 0.208 eV per atom
* total DFT energy (no corrections): -55.70 eV/cell


Entry from the Alexandria database: crystalline ThPaFeOs at its relaxed geometry (GGA-PBE).

The structure in extended XYZ format:
```
4
Lattice="0.000 3.467 3.467 3.467 0.000 3.467 3.467 3.467 0.000" Properties=species:S:1:pos:R:3 pbc="T T T"
Th 0.000 0.000 0.000
Pa 3.467 3.467 3.467
Fe 1.734 1.734 1.734
Os 5.201 5.201 5.201
```

Results
* formation enthalpy at 0 K: -0.008 eV per atom
* total DFT energy (no corrections): -36.64 eV/cell


Entry from the Alexandria database: crystalline Al2PtCl at its relaxed geometry (GGA-PBE).

The structure in extended XYZ format:
```
4
Lattice="2.975 0.000 0.000 0.000 4.146 0.000 0.000 0.000 6.464" Properties=species:S:1:pos:R:3 pbc="T T T"
Al 0.000 0.000 0.000
Al 1.487 0.000 3.232
Pt 0.000 2.073 3.232
Cl 1.487 2.073 0.000
```

Results
* total DFT energy (no corrections): -15.93 eV/cell


Entry from the Alexandria database: crystalline MgP2N4 at its relaxed geometry (GGA-PBE).

The structure in extended XYZ format:
```
7
Lattice="-3.255 3.255 2.309 3.255 -3.255 2.309 3.255 3.255 -2.309" Properties=species:S:1:pos:R:3 pbc="T T T"
Mg 0.000 0.000 0.000
P 3.255 0.000 1.154
P 0.000 3.255 1.154
N 4.413 0.324 0.000
N 0.324 2.098 0.000
N 2.932 1.158 2.309
N -1.158 2.932 2.309
```

Results
* total DFT energy (no corrections): -48.88 eV/cell


Entry from the Alexandria database: crystalline EuYPd at its relaxed geometry (GGA-PBE).

The structure in extended XYZ format:
```
3
Lattice="0.000 3.532 3.532 3.532 0.000 3.532 3.532 3.532 0.000" Properties=species:S:1:pos:R:3 pbc="T T T"
Eu 0.000 0.000 0.000
Y 3.532 3.532 3.532
Pd 1.766 1.766 1.766
```

Results
* formation enthalpy at 0 K: -0.412 eV per atom
* total DFT energy (no corrections): -23.17 eV/cell


Entry from the Alexandria database: crystalline GaFeSCl2 at its relaxed geometry (GGA-PBE).

The structure in extended XYZ format:
```
5
Lattice="4.943 0.000 0.000 0.000 4.943 0.000 0.000 0.000 4.535" Properties=species:S:1:pos:R:3 pbc="T T T"
Ga 0.000 0.000 0.000
Fe 2.472 2.472 2.267
S 2.472 2.472 0.000
Cl 0.000 2.472 2.267
Cl 2.472 0.000 2.267
```

Results
* total DFT energy (no corrections): -20.98 eV/cell


Entry from the Alexandria database: crystalline Li2Pm2YSn2 at its relaxed geometry (GGA-PBE).

The structure in extended XYZ format:
```
7
Lattice="2.395 1.383 9.120 -2.395 1.383 9.120 0.000 -2.765 9.120" Properties=species:S:1:pos:R:3 pbc="T T T"
Li 0.000 0.000 2.824
Li 0.000 0.000 24.535
Pm 0.000 0.000 10.170
Pm 0.000 0.000 17.189
Y 0.000 0.000 13.679
Sn 0.000 0.000 6.399
Sn 0.000 0.000 20.960
```

Results
* formation enthalpy at 0 K: -0.472 eV per atom
* total DFT energy (no corrections): -31.10 eV/cell


Entry from the Alexandria database: crystalline TiCuS2 at its relaxed geometry (GGA-PBE).

The structure in extended XYZ format:
```
8
Lattice="1.644 -10.755 0.000 1.644 10.755 0.000 0.000 0.000 3.759" Properties=species:S:1:pos:R:3 pbc="T T T"
Ti 1.644 7.012 2.819
Ti 1.644 -7.012 0.940
Cu 1.644 0.772 2.819
Cu 1.644 -0.772 0.940
S 1.644 4.423 2.819
S 1.644 1.878 0.940
S 1.644 -1.878 2.819
S 1.644 -4.423 0.940
```

Results
* total DFT energy (no corrections): -46.81 eV/cell